A relaxed structure of SnOs2Pt, computed with GGA-PBE.

Computed properties:
Calculated density ... 11.7 g/cm³
Formation energy from the elements ... 1.36 eV/atom
Spin magnetization ... 0.00 μB/atom

Unit cell a=5.8028 b=5.8028 c=11.7160 alpha=90.00 beta=90.00 gamma=90.00
Closest atoms and distances in Å follow each position.
Space group I-42d (No. 122)
Symmetry-distinct sites (fractional):
Sn  0.0000  0.0000  0.0000 x4  4 Os 2.64
Os  0.2162  0.2500  0.6250 x8  2 Pt 2.41, 2 Sn 2.64
Pt  0.0000  0.0000  0.5000 x4  4 Os 2.41

=====

A relaxed structure of Ni2AgHg, computed with GGA-PBE.

Computed properties:
Calculated density ... 11.6 g/cm³
Formation energy from the elements ... 0.32 eV/atom
Spin magnetization ... 0.02 μB/atom

Unit cell a=6.2466 b=6.2466 c=6.2466 alpha=90.00 beta=90.00 gamma=90.00
Closest atoms and distances in Å follow each position.
Space group F-43m (No. 216)
Symmetry-distinct sites (fractional):
Ni  0.0000  0.0000  0.0000 x4  4 Ni 2.70, 4 Ag 2.70
Ni  0.2500  0.2500  0.2500 x4  4 Hg 2.70, 4 Ni 2.70
Ag  0.2500  0.2500  0.7500 x4  4 Hg 2.70, 4 Ni 2.70
Hg  0.0000  0.0000  0.5000 x4  4 Ni 2.70, 4 Ag 2.70

=====

A relaxed structure of La3InO, computed with GGA-PBE.

Computed properties:
Calculated density ... 4.5 g/cm³
Total DFT energy (no corrections) ... -5.15 eV/atom
Spin magnetization ... 0.23 μB/atom

Unit cell a=4.8604 b=4.8604 c=8.4802 alpha=90.00 beta=90.00 gamma=90.00
Closest atoms and distances in Å follow each position.
Space group P4mm (No. 99)
Symmetry-distinct sites (fractional):
La  0.0000  0.0000  0.0000 x1  1 In 3.16
La  0.0000  0.5000  0.6404 x2  2 O 2.43
In  0.0000  0.0000  0.3730 x1  5 La 3.16-3.32
O  0.5000  0.5000  0.6376 x1  4 La 2.43